Record 1
Compound: Zr2MnAgBi
Source: Alexandria via LeMat-Bulk
Functional: GGA-PBE
Structure: optimized geometry

abc: 5.432 5.053 5.432
angles: 90.00 90.00 90.00
Site moments in Bohr magnetons follow the coordinates.
Element x y z (fractional)
Zr: 0.500 0.000 0.000  0.23
Zr: 0.000 0.000 0.500  0.33
Bi: 0.000 0.000 0.000  0.01
Mn: 0.500 0.500 0.500  -0.46
Ag: 0.000 0.500 0.000  0.00

The value obtained for the total energy is -0.3617 Ry per atom. The crystal system is tetragonal. The energy of formation from the pure elements comes out at 1.678 eV/atom. Its space-group type is P4/mmm (123). As for the magnetization: 0.44 μB per cell.


Record 2
Compound: AgBi2Mo2
Source: Alexandria via LeMat-Bulk
Functional: GGA-PBE
Structure: optimized geometry

abc: 7.530 7.530 3.712
angles: 90.00 90.00 90.00
Element x y z (fractional)
Bi: 0.165 0.665 0.500
Bi: 0.335 0.165 0.500
Bi: 0.665 0.835 0.500
Bi: 0.835 0.335 0.500
Mo: 0.870 0.630 0.000
Mo: 0.370 0.870 0.000
Mo: 0.130 0.370 0.000
Mo: 0.630 0.130 0.000
Ag: 0.500 0.500 0.000
Ag: 0.000 0.000 0.000

The value obtained for the total energy is -0.4306 Ry per atom. The crystal system is tetragonal. The energy of formation from the pure elements comes out at 0.596 eV/atom. Its space-group type is P4/mbm (127). As for the magnetization: 0.00 μB per cell.


Record 3
Compound: AgBi2Mo
Source: Alexandria via LeMat-Bulk
Functional: GGA-PBE
Structure: optimized geometry

abc: 6.621 6.621 7.702
angles: 64.54 64.54 90.00
Site moments in Bohr magnetons follow the coordinates.
Element x y z (fractional)
Ag: 0.000 0.000 0.000  -0.03
Ag: 0.750 0.250 0.500  -0.03
Bi: 0.375 0.397 0.750  -0.15
Bi: 0.147 0.625 0.250  -0.14
Bi: 0.875 0.853 0.750  -0.14
Bi: 0.603 0.125 0.250  -0.14
Mo: 0.250 0.750 0.500  1.23
Mo: 0.500 0.500 0.000  1.24

The value obtained for the total energy is -0.3308 Ry per atom. The crystal system is tetragonal. The energy of formation from the pure elements comes out at 0.860 eV/atom. Its space-group type is I-42d (122). As for the magnetization: 2.00 μB per cell.


What did the third record say?
Compound: AgBi2Mo
Source: Alexandria via LeMat-Bulk
Functional: GGA-PBE
Structure: optimized geometry

abc: 6.621 6.621 7.702
angles: 64.54 64.54 90.00
Site moments in Bohr magnetons follow the coordinates.
Element x y z (fractional)
Ag: 0.000 0.000 0.000  -0.03
Ag: 0.750 0.250 0.500  -0.03
Bi: 0.375 0.397 0.750  -0.15
Bi: 0.147 0.625 0.250  -0.14
Bi: 0.875 0.853 0.750  -0.14
Bi: 0.603 0.125 0.250  -0.14
Mo: 0.250 0.750 0.500  1.23
Mo: 0.500 0.500 0.000  1.24

The value obtained for the total energy is -0.3308 Ry per atom. The crystal system is tetragonal. The energy of formation from the pure elements comes out at 0.860 eV/atom. Its space-group type is I-42d (122). As for the magnetization: 2.00 μB per cell.